No. 1
This record from Alexandria via LeMat-Bulk describes a relaxed structure of Li8P2F. The functional is PBE.

ΔE_f (raw): -0.89 eV per atom
N(E_F): 1.9 states/eV/f.u.
space group: C2/m, No. 12

a = 7.5471 Å, b = 7.5471 Å, c = 5.3966 Å
α = 103.27°, β = 103.27°, γ = 31.87°
Last column: nearest neighbours and their distance in Å.
Positions (direct):
Li: 0.0221 0.0221 0.2744  2 P 2.50-2.69, 2 F 2.52, 3 Li 2.63-2.66
Li: 0.2248 0.2248 0.1359  3 P 2.50-2.75, 6 Li 2.52-2.75
Li: 0.3246 0.3246 0.5870  4 Li 2.52-2.75, 3 P 2.53-2.57
Li: 0.4078 0.4078 0.1858  1 F 1.85
Li: 0.5922 0.5922 0.8142  1 F 1.85
Li: 0.6754 0.6754 0.4130  4 Li 2.52-2.75, 3 P 2.53-2.57
Li: 0.7752 0.7752 0.8641  3 P 2.50-2.75, 6 Li 2.52-2.75
Li: 0.9779 0.9779 0.7256  2 P 2.50-2.69, 2 F 2.52, 3 Li 2.63-2.66
P: 0.1565 0.1565 0.6639  10 Li 2.49-2.75
P: 0.8435 0.8435 0.3361  10 Li 2.49-2.75
F: 0.5000 0.5000 0.0000  2 Li 1.85

---

No. 2
This record from Alexandria via LeMat-Bulk describes a relaxed structure of Li3PF6. The functional is PBE.

ΔE_f (raw): -2.40 eV per atom
N(E_F): 0.0 states/eV/f.u.
space group: P-1, No. 2

a = 5.3948 Å, b = 5.8086 Å, c = 5.8200 Å
α = 61.45°, β = 62.66°, γ = 62.71°
Last column: nearest neighbours and their distance in Å.
Positions (direct):
Li: 0.0000 0.0000 0.0000  4 F 1.91-1.92
Li: 0.0000 0.5000 0.5000  4 F 1.92
Li: 0.5000 0.0000 0.5000  6 F 2.08-2.13
P: 0.0000 0.5000 0.0000  6 F 1.95-2.11
F: 0.2038 0.7775 0.7711  2 Li 1.91-2.08, 1 P 1.95
F: 0.2235 0.2514 0.7504  3 Li 1.92-2.13, 1 P 2.11
F: 0.2371 0.3010 0.2476  2 Li 1.92-2.10, 1 P 1.95
F: 0.7629 0.6990 0.7524  2 Li 1.92-2.10, 1 P 1.95
F: 0.7765 0.7486 0.2496  3 Li 1.92-2.13, 1 P 2.11
F: 0.7962 0.2225 0.2289  2 Li 1.91-2.08, 1 P 1.95

---

No. 3
This record from Alexandria via LeMat-Bulk describes a relaxed structure of LiPF6. The functional is PBE.

ΔE_f (raw): -2.72 eV per atom
N(E_F): 0.0 states/eV/f.u.
space group: R-3, No. 148

a = 5.1666 Å, b = 5.1666 Å, c = 5.1666 Å
α = 58.12°, β = 58.12°, γ = 58.12°
Last column: nearest neighbours and their distance in Å.
Positions (direct):
Li: 0.0000 0.0000 0.0000  6 F 2.07
P: 0.5000 0.5000 0.5000  6 F 1.64
F: 0.1961 0.3653 0.7178  1 P 1.64
F: 0.2822 0.8039 0.6347  1 P 1.64
F: 0.3653 0.7178 0.1961  1 P 1.64
F: 0.6347 0.2822 0.8039  1 P 1.64
F: 0.7178 0.1961 0.3653  1 P 1.64
F: 0.8039 0.6347 0.2822  1 P 1.64

---

No. 4
This record from Alexandria via LeMat-Bulk describes a relaxed structure of LiPF3. The functional is PBE.

ΔE_f (raw): -1.33 eV per atom
N(E_F): 1.8 states/eV/f.u.
space group: Pm-3m, No. 221

a = 3.7020 Å, b = 3.7020 Å, c = 3.7020 Å
α = 90.00°, β = 90.00°, γ = 90.00°
Last column: nearest neighbours and their distance in Å.
Positions (direct):
Li: 0.0000 0.0000 0.0000  6 F 1.85
P: 0.5000 0.5000 0.5000  12 F 2.62
F: 0.0000 0.0000 0.5000  2 Li 1.85
F: 0.0000 0.5000 0.0000  2 Li 1.85
F: 0.5000 0.0000 0.0000  2 Li 1.85

---

No. 5
This record from Alexandria via LeMat-Bulk describes a relaxed structure of LiP2F. The functional is PBE.

ΔE_f (raw): 0.00 eV per atom
N(E_F): 0.4 states/eV/f.u.
space group: Fm-3m, No. 225

a = 4.1846 Å, b = 4.1846 Å, c = 4.1846 Å
α = 60.00°, β = 60.00°, γ = 60.00°
Last column: nearest neighbours and their distance in Å.
Positions (direct):
Li: 0.0000 0.0000 0.0000  8 P 2.56
P: 0.2500 0.2500 0.2500  4 F 2.56, 4 Li 2.56
P: 0.7500 0.7500 0.7500  4 F 2.56, 4 Li 2.56
F: 0.5000 0.5000 0.5000  8 P 2.56

---

No. 6
This record from Alexandria via LeMat-Bulk describes a relaxed structure of LiPF6. The functional is PBE.

ΔE_f (raw): -2.70 eV per atom
N(E_F): 0.0 states/eV/f.u.
space group: C2/m, No. 12

a = 5.1429 Å, b = 5.1429 Å, c = 4.6849 Å
α = 95.69°, β = 95.69°, γ = 125.24°
Last column: nearest neighbours and their distance in Å.
Positions (direct):
Li: 0.0000 0.0000 0.0000  6 F 2.03-2.12
P: 0.5000 0.5000 0.5000  6 F 1.64
F: 0.1803 0.4314 0.2976  1 P 1.64
F: 0.2723 0.2723 0.7192  1 P 1.64
F: 0.4314 0.1803 0.2976  1 P 1.64
F: 0.5686 0.8197 0.7024  1 P 1.64
F: 0.7277 0.7277 0.2808  1 P 1.64
F: 0.8197 0.5686 0.7024  1 P 1.64

---

No. 7
This record from Alexandria via LeMat-Bulk describes a relaxed structure of LiPF3. The functional is PBE.

ΔE_f (raw): -1.43 eV per atom
N(E_F): 2.3 states/eV/f.u.
space group: Pm-3m, No. 221

a = 4.2393 Å, b = 4.2393 Å, c = 4.2393 Å
α = 90.00°, β = 90.00°, γ = 90.00°
Last column: nearest neighbours and their distance in Å.
Positions (direct):
Li: 0.0000 0.0000 0.0000  12 F 3.00
P: 0.5000 0.5000 0.5000  6 F 2.12
F: 0.0000 0.5000 0.5000  2 P 2.12
F: 0.5000 0.0000 0.5000  2 P 2.12
F: 0.5000 0.5000 0.0000  2 P 2.12

---

No. 8
This record from Alexandria via LeMat-Bulk describes a relaxed structure of LiP2F. The functional is PBE.

ΔE_f (raw): -1.01 eV per atom
N(E_F): 1.1 states/eV/f.u.
space group: I-42d, No. 122

a = 14.4188 Å, b = 14.4188 Å, c = 14.4188 Å
α = 167.52°, β = 167.52°, γ = 17.68°
Last column: nearest neighbours and their distance in Å.
Positions (direct):
Li: 0.0000 0.0000 0.0000  4 F 2.22
Li: 0.7500 0.2500 0.5000  4 F 2.22
P: 0.1249 0.6250 0.9999  4 P 2.22
P: 0.3750 0.3749 0.4999  4 P 2.22
P: 0.6251 0.1250 0.0001  4 P 2.22
P: 0.8750 0.8751 0.5001  4 P 2.22
F: 0.2500 0.7500 0.5000  4 Li 2.22
F: 0.5000 0.5000 0.0000  4 Li 2.22

---

No. 9
This record from Alexandria via LeMat-Bulk describes a relaxed structure of Li2PF6. The functional is PBE.

ΔE_f (raw): -2.45 eV per atom
N(E_F): 1.9 states/eV/f.u.
space group: P4_2/mnm, No. 136

a = 4.6515 Å, b = 4.6515 Å, c = 8.9305 Å
α = 90.00°, β = 90.00°, γ = 90.00°
Last column: nearest neighbours and their distance in Å.
Positions (direct):
Li: 0.0000 0.0000 0.1629  6 F 2.06-2.08
Li: 0.0000 0.0000 0.8371  6 F 2.06-2.08
Li: 0.5000 0.5000 0.3371  6 F 2.06-2.08
Li: 0.5000 0.5000 0.6629  6 F 2.06-2.08
P: 0.0000 0.0000 0.5000  6 F 1.81-1.82
P: 0.5000 0.5000 0.0000  6 F 1.81-1.82
F: 0.1872 0.1872 0.3510  1 P 1.81
F: 0.1872 0.1872 0.6490  1 P 1.81
F: 0.2235 0.2235 0.0000  1 P 1.82
F: 0.2765 0.7235 0.5000  1 P 1.82
F: 0.3128 0.6872 0.1490  1 P 1.81
F: 0.3128 0.6872 0.8510  1 P 1.81
F: 0.6872 0.3128 0.1490  1 P 1.81
F: 0.6872 0.3128 0.8510  1 P 1.81
F: 0.7235 0.2765 0.5000  1 P 1.82
F: 0.7765 0.7765 0.0000  1 P 1.82
F: 0.8128 0.8128 0.3510  1 P 1.81
F: 0.8128 0.8128 0.6490  1 P 1.81

---

No. 10
This record from Alexandria via LeMat-Bulk describes a relaxed structure of LiPrPF. The functional is PBE.

ΔE_f (raw): -2.09 eV per atom
N(E_F): 0.0 states/eV/f.u.
space group: P4/nmm, No. 129

a = 3.9142 Å, b = 3.9142 Å, c = 8.9699 Å
α = 90.00°, β = 90.00°, γ = 90.00°
Last column: nearest neighbours and their distance in Å.
Positions (direct):
Li: 0.2500 0.7500 0.0000  4 P 2.54, 4 Li 2.77
Li: 0.7500 0.2500 0.0000  4 P 2.54, 4 Li 2.77
Pr: 0.2500 0.2500 0.3182  4 F 2.55
Pr: 0.7500 0.7500 0.6818  4 F 2.55
P: 0.2500 0.2500 0.8200  4 Li 2.54
P: 0.7500 0.7500 0.1800  4 Li 2.54
F: 0.2500 0.7500 0.5000  4 Pr 2.55, 4 F 2.77
F: 0.7500 0.2500 0.5000  4 Pr 2.55, 4 F 2.77

---

No. 11
This record from Alexandria via LeMat-Bulk describes a relaxed structure of RbLiP2F. The functional is PBE.

ΔE_f (raw): -0.02 eV per atom
N(E_F): 2.4 states/eV/f.u.
space group: P4/mmm, No. 123

a = 4.5869 Å, b = 4.5869 Å, c = 5.0754 Å
α = 90.00°, β = 90.00°, γ = 90.00°
Last column: nearest neighbours and their distance in Å.
Positions (direct):
Rb: 0.0000 0.0000 0.0000  2 F 2.54
Li: 0.5000 0.5000 0.0000  4 Rb 3.24, 8 P 3.42
P: 0.0000 0.5000 0.5000  2 F 2.29
P: 0.5000 0.0000 0.5000  2 F 2.29
F: 0.0000 0.0000 0.5000  4 P 2.29, 2 Rb 2.54

---

No. 12
This record from Alexandria via LeMat-Bulk describes a relaxed structure of Rb2LiPF6. The functional is PBE.

ΔE_f (raw): -2.47 eV per atom
N(E_F): 0.0 states/eV/f.u.
space group: I4/mmm, No. 139

a = 5.9421 Å, b = 5.9421 Å, c = 5.9421 Å
α = 119.96°, β = 119.96°, γ = 90.06°
Last column: nearest neighbours and their distance in Å.
Positions (direct):
Rb: 0.2500 0.7500 0.5000  12 F 2.97
Rb: 0.7500 0.2500 0.5000  12 F 2.97
Li: 0.0000 0.0000 0.0000  6 F 2.19
P: 0.5000 0.5000 0.0000  6 F 2.01
F: 0.2605 0.2605 0.0000  1 P 2.01, 1 Li 2.19
F: 0.2608 0.2608 0.5216  1 P 2.01, 1 Li 2.19
F: 0.2608 0.7392 0.0000  1 P 2.01, 1 Li 2.19
F: 0.7392 0.2608 0.0000  1 P 2.01, 1 Li 2.19
F: 0.7392 0.7392 0.4784  1 P 2.01, 1 Li 2.19
F: 0.7395 0.7395 0.0000  1 P 2.01, 1 Li 2.19

---

- Which of these has the highest N(E_F)?
  RbLiP2F

---

- Look up the ΔE_f (raw) of the fifth one.
  0.00 eV per atom

---

- Among the records above, which one has the highest N(E_F)?
  RbLiP2F

---

Copy entry 4 word for word.
This record from Alexandria via LeMat-Bulk describes a relaxed structure of LiPF3. The functional is PBE.

ΔE_f (raw): -1.33 eV per atom
N(E_F): 1.8 states/eV/f.u.
space group: Pm-3m, No. 221

a = 3.7020 Å, b = 3.7020 Å, c = 3.7020 Å
α = 90.00°, β = 90.00°, γ = 90.00°
Last column: nearest neighbours and their distance in Å.
Positions (direct):
Li: 0.0000 0.0000 0.0000  6 F 1.85
P: 0.5000 0.5000 0.5000  12 F 2.62
F: 0.0000 0.0000 0.5000  2 Li 1.85
F: 0.0000 0.5000 0.0000  2 Li 1.85
F: 0.5000 0.0000 0.0000  2 Li 1.85